(1)
Crystalline Nb3InSb at its relaxed geometry, computed with PBE.

Calculated values
The calculated total energy comes out at -6.14 eV per atom. As for the energy relative to the elements, uncorrected: 614 kJ/mol of formula units. The calculation puts the excess energy over the best structure of this formula in the dataset at 0.0000 eV/atom.

Lattice parameters (Å, degrees): 5.0452 5.0452 5.0452 90.00 90.00 90.00
With the nearest neighbours (Å) after each atom.
Space group Pm-3m (No. 221)
Symmetry-distinct sites (fractional):
1 Nb 0.0000 0.0000 0.5000 [3 per cell]  2 Sb 2.52
2 In 0.5000 0.5000 0.5000 [1 per cell]  12 Nb 3.57
3 Sb 0.0000 0.0000 0.0000 [1 per cell]  6 Nb 2.52

(2)
Crystalline NaMgAu at its relaxed geometry, computed with PBE.

Calculated values
The calculated total energy comes out at -2.41 eV per atom. The calculation puts the excess energy over the best structure of this formula in the dataset at 0.0167 eV/atom.

Lattice parameters (Å, degrees): 5.7980 9.2241 10.2892 90.00 90.00 90.00
With the nearest neighbours (Å) after each atom.
Space group Fmmm (No. 69)
Symmetry-distinct sites (fractional):
1 Na 0.0000 0.1699 0.0000 [8 per cell]  4 Au 3.04, 3 Na 3.13-3.25
2 Mg 0.0000 0.0000 0.3183 [8 per cell]  4 Au 2.81
3 Au 0.2500 0.2500 0.2500 [8 per cell]  4 Mg 2.81, 2 Au 2.90, 4 Na 3.04

(3)
Crystalline La4Ge2Ir at its relaxed geometry, computed with PBE.

Calculated values
The calculated total energy comes out at -6.15 eV per atom.

Lattice parameters (Å, degrees): 11.5305 4.6272 8.7410 90.00 121.95 90.00
With the nearest neighbours (Å) after each atom.
Space group C2/m (No. 12)
Symmetry-distinct sites (fractional):
1 La 0.0823 0.0000 0.3635 [4 per cell]  1 Ir 2.79
2 La 0.1827 0.5000 0.0687 [4 per cell]  2 Ir 2.97, 2 Ge 3.26
3 Ge 0.1279 0.5000 0.6449 [4 per cell]  1 Ge 2.68
4 Ir 0.0000 0.0000 0.0000 [2 per cell]  6 La 2.79-2.97

(4)
Crystalline Co2HgPt at its relaxed geometry, computed with PBE.

Calculated values
The calculated total energy comes out at -4.89 eV per atom.

Lattice parameters (Å, degrees): 3.8584 3.8584 7.8960 90.00 90.00 90.00
With the nearest neighbours (Å) after each atom.
Space group I-4m2 (No. 119)
Symmetry-distinct sites (fractional):
1 Co 0.0000 0.0000 0.0000 [2 per cell]  4 Pt 2.73, 4 Hg 2.76, 4 Co 2.76
2 Co 0.0000 0.5000 0.2500 [2 per cell]  4 Hg 2.73, 4 Co 2.76, 4 Pt 2.76
3 Hg 0.0000 0.5000 0.7500 [2 per cell]  8 Co 2.73-2.76, 4 Pt 2.76
4 Pt 0.0000 0.0000 0.5000 [2 per cell]  8 Co 2.73-2.76, 4 Hg 2.76

- calculated total energy of number 2 (NaMgAu)?
  -2.41 eV per atom

- The lowest calculated total energy belongs to which entry?
  La4Ge2Ir

- Which of these has the highest calculated total energy?
  NaMgAu